No. 1
An optimized crystal structure of Er2ZnHg3. Source: Alexandria via LeMat-Bulk, functional GGA-PBE.

Crystal system   orthorhombic
Raw total energy   -13.60 eV/f.u.
Calculated density   12130 kg/m3
N(E_F)   3.2 states/eV/f.u.
Magnetic moment   0.00 Bohr magnetons per cell

Lattice parameters (Å, degrees): 6.8920 9.5793 16.6162 90.00 90.00 90.00
Closest atoms and distances in Å follow each position.
Space group Fmmm (No. 69)
Inequivalent atoms, fractional coordinates:
Er  0.2482  0.0000  0.0000 x8  10 Hg 3.22-3.34, 2 Zn 3.28, 2 Er 3.42-3.47
Er  0.2500  0.2500  0.2500 x8  8 Hg 3.22, 4 Zn 3.25, 2 Er 3.45
Zn  0.0000  0.0000  0.3325 x8  3 Hg 2.67
Hg  0.0000  0.0000  0.1717 x8  1 Zn 2.67, 2 Hg 2.86
Hg  0.0000  0.2403  0.4136 x16  1 Zn 2.67, 2 Hg 2.86-2.87


No. 2
An optimized crystal structure of Er2ZnHg4. Source: Alexandria via LeMat-Bulk, functional GGA-PBE.

Crystal system   monoclinic
Raw total energy   -13.42 eV/f.u.
Calculated density   12047 kg/m3
N(E_F)   2.7 states/eV/f.u.
Magnetic moment   0.00 Bohr magnetons per cell

Lattice parameters (Å, degrees): 9.0586 5.1004 7.5897 90.00 109.06 90.00
Closest atoms and distances in Å follow each position.
Space group C2/m (No. 12)
Inequivalent atoms, fractional coordinates:
Er  0.2181  0.0000  0.1768 x4  7 Hg 3.02-3.29, 3 Zn 3.24-3.25
Zn  0.0000  0.5000  0.0000 x2  2 Hg 2.81
Hg  0.0904  0.0000  0.7491 x4  4 Er 3.02-3.07, 3 Hg 3.12-3.16
Hg  0.1217  0.5000  0.3912 x4  1 Zn 2.81, 1 Er 3.12, 1 Hg 3.12


No. 3
An optimized crystal structure of Er8ZnHg2. Source: Alexandria via LeMat-Bulk, functional GGA-PBE.

Crystal system   monoclinic
Raw total energy   -40.74 eV/f.u.
Calculated density   9942 kg/m3
N(E_F)   8.5 states/eV/f.u.
Magnetic moment   0.00 Bohr magnetons per cell

Lattice parameters (Å, degrees): 17.8014 5.1440 6.8387 90.00 105.70 90.00
Closest atoms and distances in Å follow each position.
Space group C2/m (No. 12)
Inequivalent atoms, fractional coordinates:
Er  0.0234  0.0000  0.2746 x4  1 Hg 3.01, 2 Zn 3.08
Er  0.0911  0.5000  0.9530 x4  1 Zn 3.08, 2 Hg 3.35, 3 Er 3.39-3.41
Er  0.1613  0.5000  0.4693 x4  1 Zn 2.93, 3 Hg 2.94-3.16
Er  0.1982  0.0000  0.8078 x4  1 Hg 2.92
Zn  0.0000  0.5000  0.5000 x2  8 Er 2.93-3.08
Hg  0.1863  0.0000  0.2258 x4  5 Er 2.92-3.16


No. 4
An optimized crystal structure of ErZnHg. Source: Alexandria via LeMat-Bulk, functional GGA-PBE.

Crystal system   hexagonal
Raw total energy   -7.31 eV/f.u.
Calculated density   10997 kg/m3
N(E_F)   1.8 states/eV/f.u.
Magnetic moment   0.00 Bohr magnetons per cell

Lattice parameters (Å, degrees): 4.6662 4.6662 3.4695 90.00 90.00 120.00
Closest atoms and distances in Å follow each position.
Space group P-6m2 (No. 187)
Inequivalent atoms, fractional coordinates:
Er  0.0000  0.0000  0.0000 x1  6 Hg 3.20, 6 Zn 3.20, 2 Er 3.47
Zn  0.3333  0.6667  0.5000 x1  3 Hg 2.69
Hg  0.6667  0.3333  0.5000 x1  3 Zn 2.69


No. 5
An optimized crystal structure of Er4Zn2Hg5. Source: Alexandria via LeMat-Bulk, functional GGA-PBE.

Crystal system   monoclinic
Raw total energy   -26.33 eV/f.u.
Calculated density   11492 kg/m3
N(E_F)   6.9 states/eV/f.u.
Magnetic moment   0.00 Bohr magnetons per cell

Lattice parameters (Å, degrees): 7.6427 3.6185 9.4269 90.00 92.27 90.00
Closest atoms and distances in Å follow each position.
Space group P2/m (No. 10)
Inequivalent atoms, fractional coordinates:
Er  0.1878  0.0000  0.3660 x2  2 Zn 3.03, 8 Hg 3.18-3.22
Er  0.2537  0.0000  0.9217 x2  4 Zn 3.04-3.05, 6 Hg 3.16-3.25
Zn  0.0625  0.5000  0.1248 x2  1 Zn 2.50, 1 Hg 2.79
Hg  0.1551  0.5000  0.6439 x2  1 Zn 2.79, 1 Hg 3.01
Hg  0.4318  0.5000  0.1718 x2  1 Zn 2.84, 1 Hg 3.12, 2 Er 3.16
Hg  0.5000  0.5000  0.5000 x1  4 Hg 3.01-3.12, 4 Er 3.21


No. 6
An optimized crystal structure of ErZnHg. Source: Alexandria via LeMat-Bulk, functional GGA-PBE.

Crystal system   monoclinic
Raw total energy   -7.31 eV/f.u.
Calculated density   11005 kg/m3
N(E_F)   1.5 states/eV/f.u.
Magnetic moment   0.00 Bohr magnetons per cell

Lattice parameters (Å, degrees): 10.6589 4.6659 6.8895 90.00 130.25 90.00
Closest atoms and distances in Å follow each position.
Space group C2/m (No. 12)
Inequivalent atoms, fractional coordinates:
Er  0.0011  0.0000  0.2502 x4  6 Hg 3.14-3.24, 6 Zn 3.17-3.29, 2 Er 3.43-3.46
Zn  0.1560  0.5000  0.6574 x4  1 Zn 2.54, 2 Hg 2.70
Hg  0.1771  0.5000  0.1754 x4  2 Zn 2.70, 1 Hg 2.88


No. 7
An optimized crystal structure of ErZn3Hg3. Source: Alexandria via LeMat-Bulk, functional GGA-PBE.

Crystal system   cubic
Raw total energy   -6.67 eV/f.u.
Calculated density   8443 kg/m3
N(E_F)   4.6 states/eV/f.u.
Magnetic moment   0.00 Bohr magnetons per cell

Lattice parameters (Å, degrees): 7.2413 7.2413 7.2413 90.00 90.00 90.00
Closest atoms and distances in Å follow each position.
Space group Pm-3n (No. 223)
Inequivalent atoms, fractional coordinates:
Er  0.0000  0.0000  0.0000 x2  12 Hg 4.05, 12 Zn 4.05
Zn  0.0000  0.2500  0.5000 x6  4 Hg 2.56
Hg  0.0000  0.5000  0.2500 x6  4 Zn 2.56


No. 8
An optimized crystal structure of Er3Zn2Hg2. Source: Alexandria via LeMat-Bulk, functional GGA-PBE.

Crystal system   orthorhombic
Raw total energy   -19.54 eV/f.u.
Calculated density   10715 kg/m3
N(E_F)   5.5 states/eV/f.u.
Magnetic moment   0.00 Bohr magnetons per cell

Lattice parameters (Å, degrees): 4.2595 21.3268 3.5272 90.00 90.00 90.00
Closest atoms and distances in Å follow each position.
Space group Cmmm (No. 65)
Inequivalent atoms, fractional coordinates:
Er  0.0000  0.0000  0.0000 x2  8 Hg 3.27, 4 Er 3.49-3.53
Er  0.0000  0.1636  0.0000 x4  6 Zn 3.01-3.05, 4 Hg 3.27
Zn  0.0000  0.2804  0.5000 x4  2 Zn 2.49
Hg  0.0000  0.4179  0.5000 x4  1 Zn 2.93, 8 Er 3.27


No. 9
An optimized crystal structure of Er3ZnHg. Source: Alexandria via LeMat-Bulk, functional GGA-PBE.

Crystal system   hexagonal
Calculated density   9467 kg/m3
N(E_F)   4.1 states/eV/f.u.
Magnetic moment   0.00 Bohr magnetons per cell
E above lowest polymorph   162.0 meV/atom

Lattice parameters (Å, degrees): 8.0740 8.0740 4.7703 90.00 90.00 120.00
Closest atoms and distances in Å follow each position.
Space group P6_3/mmc (No. 194)
Inequivalent atoms, fractional coordinates:
Er  0.1918  0.3836  0.2500 x6  2 Zn 2.94, 2 Hg 3.10
Zn  0.0000  0.0000  0.0000 x2  2 Zn 2.39
Hg  0.3333  0.6667  0.7500 x2  6 Er 3.10


No. 10
An optimized crystal structure of ErZrHg2. Source: Alexandria via LeMat-Bulk, functional GGA-PBE.

Crystal system   cubic
Calculated density   11692 kg/m3
N(E_F)   4.0 states/eV/f.u.
Magnetic moment   3.26 Bohr magnetons per cell
E above lowest polymorph   24.7 meV/atom

Lattice parameters (Å, degrees): 7.2096 7.2096 7.2096 90.00 90.00 90.00
Closest atoms and distances in Å follow each position.
Space group Fm-3m (No. 225)
Inequivalent atoms, fractional coordinates:
Er  0.0000  0.0000  0.0000 x4  8 Hg 3.12
Zr  0.0000  0.0000  0.5000 x4  8 Hg 3.12
Hg  0.2500  0.2500  0.2500 x8  4 Zr 3.12, 4 Er 3.12


No. 11
An optimized crystal structure of Er2ZrHg6. Source: Alexandria via LeMat-Bulk, functional GGA-PBE.

Crystal system   monoclinic
Raw total energy   -21.68 eV/f.u.
Calculated density   12658 kg/m3
N(E_F)   4.1 states/eV/f.u.
Magnetic moment   0.00 Bohr magnetons per cell

Lattice parameters (Å, degrees): 14.1517 11.4699 5.3479 90.00 99.96 90.00
Closest atoms and distances in Å follow each position.
Space group C2/c (No. 15)
Inequivalent atoms, fractional coordinates:
Er  0.1663  0.1239  0.0819 x8  10 Hg 3.06-3.31
Zr  0.0000  0.3897  0.2500 x4  10 Hg 3.04-3.34
Hg  0.0556  0.1319  0.5261 x8  4 Er 3.06-3.31, 5 Hg 3.09-3.40, 1 Zr 3.34
Hg  0.1094  0.3716  0.8036 x8  5 Hg 3.04-3.27, 3 Zr 3.07-3.13, 2 Er 3.13-3.24
Hg  0.2181  0.3759  0.3606 x8  5 Hg 3.04-3.30, 1 Zr 3.04, 4 Er 3.10-3.28


No. 12
An optimized crystal structure of ErZr2Hg. Source: Alexandria via LeMat-Bulk, functional GGA-PBE.

Crystal system   trigonal
Calculated density   9217 kg/m3
N(E_F)   5.7 states/eV/f.u.
Magnetic moment   0.00 Bohr magnetons per cell
E above lowest polymorph   326.5 meV/atom

Lattice parameters (Å, degrees): 3.1605 3.1605 34.3838 90.00 90.00 120.00
Closest atoms and distances in Å follow each position.
Space group R-3m (No. 166, hexagonal axes)
Inequivalent atoms, fractional coordinates:
Er  0.0000  0.0000  0.0000 x3  6 Er 3.16, 2 Zr 3.19
Zr  0.0000  0.0000  0.0927 x6  3 Hg 3.13, 6 Zr 3.16, 1 Er 3.19
Hg  0.0000  0.0000  0.5000 x3  6 Zr 3.13, 6 Hg 3.16